[1]
Crystalline Zr4SbCl at its relaxed geometry, computed with GGA-PBE.

a = 5.8470 Å, b = 5.8470 Å, c = 5.8470 Å
α = 60.00°, β = 60.00°, γ = 60.00°
With the nearest neighbours (Å) after each atom.
Positions (direct):
1 Zr 0.8790 0.3737 0.3737  6 Zr 2.89-2.96
2 Zr 0.3737 0.8790 0.3737  6 Zr 2.89-2.96
3 Zr 0.3737 0.3737 0.8790  6 Zr 2.89-2.96
4 Cl 0.7500 0.7500 0.7500  12 Zr 3.43, 4 Sb 3.58
5 Zr 0.3737 0.3737 0.3737  6 Zr 2.89-2.96
6 Sb 0.0000 0.0000 0.0000  12 Zr 3.42, 4 Cl 3.58

Properties
Electronic total energy   -6.510 eV per atom
Symmetry   No. 216
Density of states at the Fermi level   2.6 states/eV/cell
Formation energy (no corrections)   183 meV per atom
Size of the total moment   0.00 μB/cell

***

[2]
Crystalline Ca3F at its relaxed geometry, computed with GGA-PBE.

a = 3.5057 Å, b = 7.0136 Å, c = 6.4784 Å
α = 122.77°, β = 105.70°, γ = 90.00°
With the nearest neighbours (Å) after each atom.
Positions (direct):
1 F 0.0000 0.9172 0.0000  4 Ca 2.48
2 Ca 0.5000 0.4164 0.0000  10 Ca 3.51-3.92, 4 F 3.92-3.93
3 Ca 0.6701 0.0866 0.3401  2 F 2.48
4 Ca 0.3299 0.7464 0.6599  2 F 2.48

Properties
Electronic total energy   -3.155 eV per atom
Symmetry   No. 44
Density of states at the Fermi level   3.0 states/eV/cell
Formation energy (no corrections)   -1186 meV per atom
Size of the total moment   0.00 μB/cell

***

[3]
Crystalline Na3Cd2Pb8 at its relaxed geometry, computed with GGA-PBE.

a = 5.6788 Å, b = 7.5838 Å, c = 10.0622 Å
α = 112.14°, β = 90.01°, γ = 90.00°
With the nearest neighbours (Å) after each atom.
Positions (direct):
1 Pb 0.5000 0.8320 0.2345  1 Na 3.08, 2 Cd 3.12-3.15, 3 Pb 3.26-3.42
2 Pb 0.5000 0.4025 0.2345  1 Na 3.08, 2 Cd 3.12-3.15, 3 Pb 3.26-3.42
3 Cd 0.5001 0.7620 0.5240  8 Pb 3.12-3.31
4 Pb 0.0000 0.6704 0.3408  2 Cd 3.31, 5 Pb 3.33-3.42, 2 Na 3.60
5 Pb 0.5000 0.1680 0.7655  1 Na 3.08, 2 Cd 3.12-3.15, 3 Pb 3.26-3.42
6 Pb 0.9999 0.1509 0.3019  2 Cd 3.27, 5 Pb 3.33-3.63, 2 Na 3.51
7 Cd 0.4999 0.2380 0.4760  8 Pb 3.12-3.31
8 Na 0.0000 0.2761 0.0000  3 Na 3.40-3.53, 8 Pb 3.51-3.60
9 Pb 0.0001 0.8491 0.6981  2 Cd 3.27, 5 Pb 3.33-3.63, 2 Na 3.51
10 Na 0.0000 0.7239 0.0000  3 Na 3.40-3.53, 8 Pb 3.51-3.60
11 Pb 0.5000 0.5975 0.7655  1 Na 3.08, 2 Cd 3.12-3.15, 3 Pb 3.26-3.42
12 Na 0.5000 0.0000 0.0000  4 Pb 3.08
13 Pb 0.0000 0.3296 0.6592  2 Cd 3.31, 5 Pb 3.33-3.42, 2 Na 3.60

Properties
Electronic total energy   -2.729 eV per atom
Symmetry   No. 65
Density of states at the Fermi level   4.6 states/eV/cell
Size of the total moment   0.00 μB/cell
Formation energy from the elements   -1.7 meV/atom

***

[4]
Crystalline Pm4S3F4 at its relaxed geometry, computed with GGA-PBE.

a = 3.7382 Å, b = 7.6988 Å, c = 8.0412 Å
α = 118.60°, β = 103.44°, γ = 90.00°
With the nearest neighbours (Å) after each atom.
Positions (direct):
1 Pm 0.5000 0.2213 0.0000  2 F 2.55, 2 S 2.85
2 S 0.1130 0.1130 0.2260  6 Pm 2.81-2.96, 1 S 3.08
3 S 0.0000 0.5000 0.0000  6 Pm 2.85-3.18
4 F 0.3198 0.5085 0.6396  4 Pm 2.48-2.67
5 Pm 0.5000 0.7787 0.0000  2 F 2.55, 2 S 2.85
6 F 0.6802 0.4915 0.3604  4 Pm 2.48-2.67
7 F 0.3198 0.1311 0.6396  4 Pm 2.48-2.67
8 Pm 0.7668 0.2668 0.5335  6 F 2.48-2.67
9 S 0.8870 0.8870 0.7740  6 Pm 2.81-2.96, 1 S 3.08
10 F 0.6802 0.8689 0.3604  4 Pm 2.48-2.67
11 Pm 0.2332 0.7332 0.4665  6 F 2.48-2.67

Properties
Electronic total energy   -6.441 eV per atom
Symmetry   No. 71
Density of states at the Fermi level   4.4 states/eV/cell
Formation energy (no corrections)   -2907 meV per atom
Size of the total moment   0.27 μB/cell

***

Copy entry 1 word for word.
Crystalline Zr4SbCl at its relaxed geometry, computed with GGA-PBE.

a = 5.8470 Å, b = 5.8470 Å, c = 5.8470 Å
α = 60.00°, β = 60.00°, γ = 60.00°
With the nearest neighbours (Å) after each atom.
Positions (direct):
1 Zr 0.8790 0.3737 0.3737  6 Zr 2.89-2.96
2 Zr 0.3737 0.8790 0.3737  6 Zr 2.89-2.96
3 Zr 0.3737 0.3737 0.8790  6 Zr 2.89-2.96
4 Cl 0.7500 0.7500 0.7500  12 Zr 3.43, 4 Sb 3.58
5 Zr 0.3737 0.3737 0.3737  6 Zr 2.89-2.96
6 Sb 0.0000 0.0000 0.0000  12 Zr 3.42, 4 Cl 3.58

Properties
Electronic total energy   -6.510 eV per atom
Symmetry   No. 216
Density of states at the Fermi level   2.6 states/eV/cell
Formation energy (no corrections)   183 meV per atom
Size of the total moment   0.00 μB/cell

***

Among the records above, which one has the highest density of states at the Fermi level?
Na3Cd2Pb8

***

Among the records above, which one has the lowest density of states at the Fermi level?
Zr4SbCl

***

Which of these has the lowest density of states at the Fermi level?
Zr4SbCl